Material: KBa2Ge2
Method: DFT, PBE
State: optimized geometry

Cell: 8.845 8.845 4.851 Å, 90.00 90.00 90.00°
Element x y z (fractional)
K 0.000 0.000 0.000
K 0.500 0.500 0.000
Ba 0.176 0.324 0.500
Ba 0.324 0.824 0.500
Ba 0.676 0.176 0.500
Ba 0.824 0.676 0.500
Ge 0.100 0.600 0.000
Ge 0.400 0.100 0.000
Ge 0.600 0.900 0.000
Ge 0.900 0.400 0.000

Summary:
ΔH_f (0 K) (meV/atom): -346.8
Electronic total energy (eV per atom): -3.18
SG: No. 127
Excess energy over the best structure of this formula in the dataset (meV/atom): 0.0